Entry 1:
# SrZnGePt2

Crystalline SrZnGePt2 at its relaxed geometry (PBE, the Alexandria database).

a b c (Å): 4.3721 4.3721 6.1967
angles (deg): 110.66 110.66 90.00
Closest atoms and distances in Å follow each position.
Atoms (fractional coordinates):
Sr 0.0000 0.0000 0.0000  8 Pt 3.38, 4 Ge 3.46, 4 Zn 3.46
Zn 0.2500 0.7500 0.5000  4 Pt 2.55
Ge 0.7500 0.2500 0.5000  4 Pt 2.55
Pt 0.6270 0.6270 0.2540  2 Ge 2.55, 2 Zn 2.55, 1 Pt 2.73
Pt 0.3730 0.3730 0.7460  2 Zn 2.55, 2 Ge 2.55, 1 Pt 2.73

Properties
Total DFT energy (no corrections), eV/atom: -4.651
ΔH_f (0 K), eV/f.u.: -3.6



Entry 2:
# SrZn2GePt

Crystalline SrZn2GePt at its relaxed geometry (PBE, the Alexandria database).

a b c (Å): 4.4266 4.3805 6.1001
angles (deg): 111.04 111.27 90.00
Closest atoms and distances in Å follow each position.
Atoms (fractional coordinates):
Sr 0.4416 0.4416 0.8832  4 Pt 3.35-3.50, 8 Zn 3.37-3.45, 4 Ge 3.38
Zn 0.6891 0.1891 0.3782  2 Ge 2.57, 2 Zn 2.57
Zn 0.0651 0.0651 0.1302  2 Zn 2.57, 2 Pt 2.61, 1 Ge 2.61
Ge 0.8167 0.8167 0.6334  2 Pt 2.53, 3 Zn 2.57-2.61
Pt 0.1996 0.6996 0.3993  2 Ge 2.53, 2 Zn 2.61

Properties
Total DFT energy (no corrections), eV/atom: -3.484
ΔH_f (0 K), eV/f.u.: -2.5
Energy above the lowest structure with this stoichiometry, eV per formula unit: 0.000



Entry 3:
# SrZn2GePt

Crystalline SrZn2GePt at its relaxed geometry (PBE, the Alexandria database).

a b c (Å): 4.8863 4.8863 4.9135
angles (deg): 90.00 90.00 90.00
Closest atoms and distances in Å follow each position.
Atoms (fractional coordinates):
Sr 0.5000 0.5000 0.5000  4 Ge 3.46, 8 Zn 3.46
Ge 0.0000 0.0000 0.5000  2 Pt 2.46
Zn 0.0000 0.5000 0.0000  2 Pt 2.44
Zn 0.5000 0.0000 0.0000  2 Pt 2.44
Pt 0.0000 0.0000 0.0000  4 Zn 2.44, 2 Ge 2.46

Properties
Total DFT energy (no corrections), eV/atom: -3.306
ΔH_f (0 K), eV/f.u.: -1.6
Energy above the lowest structure with this stoichiometry, eV per formula unit: 0.891



Entry 4:
# Sr2Zn3GePt4

Crystalline Sr2Zn3GePt4 at its relaxed geometry (PBE, the Alexandria database).

a b c (Å): 4.3869 4.3869 10.4399
angles (deg): 90.00 90.00 90.00
Closest atoms and distances in Å follow each position.
Atoms (fractional coordinates):
Sr 0.5000 0.0000 0.2417  6 Zn 3.31-3.48, 8 Pt 3.34-3.41, 2 Ge 3.48
Sr 0.0000 0.5000 0.7583  6 Zn 3.31-3.48, 8 Pt 3.34-3.41, 2 Ge 3.48
Zn 0.0000 0.0000 0.5000  4 Pt 2.55
Zn 0.5000 0.0000 0.8688  5 Pt 2.56-2.59
Zn 0.0000 0.5000 0.1312  5 Pt 2.56-2.59
Ge 0.5000 0.5000 0.5000  4 Pt 2.55
Pt 0.5000 0.5000 0.0000  4 Zn 2.59
Pt 0.0000 0.0000 0.0000  4 Zn 2.59
Pt 0.5000 0.0000 0.6237  2 Ge 2.55, 3 Zn 2.55-2.56
Pt 0.0000 0.5000 0.3763  2 Ge 2.55, 3 Zn 2.55-2.56

Properties
Total DFT energy (no corrections), eV/atom: -4.303
ΔH_f (0 K), eV/f.u.: -7.1



Entry 5:
# SrZnGe2Pt

Crystalline SrZnGe2Pt at its relaxed geometry (PBE, the Alexandria database).

a b c (Å): 4.3403 4.3403 6.1953
angles (deg): 110.50 110.50 90.00
Closest atoms and distances in Å follow each position.
Atoms (fractional coordinates):
Sr 0.0000 0.0000 0.0000  8 Ge 3.34, 4 Pt 3.46, 4 Zn 3.46
Zn 0.7500 0.2500 0.5000  4 Ge 2.57
Ge 0.6213 0.6213 0.2425  2 Pt 2.57, 2 Zn 2.57, 1 Ge 2.61
Ge 0.3787 0.3787 0.7575  2 Zn 2.57, 2 Pt 2.57, 1 Ge 2.61
Pt 0.2500 0.7500 0.5000  4 Ge 2.57

Properties
Total DFT energy (no corrections), eV/atom: -4.217
ΔH_f (0 K), eV/f.u.: -2.9



Entry 6:
# TaGe3Pt

Crystalline TaGe3Pt at its relaxed geometry (PBE, the Alexandria database).

a b c (Å): 4.9577 4.9577 4.9577
angles (deg): 90.00 90.00 90.00
Closest atoms and distances in Å follow each position.
Atoms (fractional coordinates):
Ge 0.0000 0.5000 0.0000  2 Ta 2.48
Ge 0.0000 0.0000 0.5000  2 Ta 2.48
Ge 0.5000 0.0000 0.0000  2 Ta 2.48
Pt 0.5000 0.5000 0.5000  12 Ge 3.51
Ta 0.0000 0.0000 0.0000  6 Ge 2.48

Properties
Total DFT energy (no corrections), eV/atom: -5.457
ΔH_f (0 K), eV/f.u.: 4.5



Question: Look up the total DFT energy (no corrections) of the second one.
Answer: -3.484 eV/atom



Question: The highest total DFT energy (no corrections) belongs to which entry?
Answer: number 3